Entry 1:
The following is a DFT calculation (PBE-GGA) of a relaxed structure of AlB2H.

Calculated values
Calculated density, g cm⁻³: 2.5
Space-group type: I-42d (122)
V, Å³ per cell: 65.1
Energy above the lowest structure with this stoichiometry, eV/atom: 0.0000
Magnetic moment, Bohr magnetons per cell: 0.0

a b c (Å): 6.451 6.451 6.451
angles (deg): 150.46 150.46 42.27
Atoms (fractional coordinates):
Al 0.000 0.000 0.000
Al 0.750 0.250 0.500
B 0.346 0.625 0.221
B 0.375 0.596 0.721
B 0.404 0.125 0.779
B 0.875 0.654 0.279
H 0.250 0.750 0.500
H 0.500 0.500 0.000

***

Entry 2:
The following is a DFT calculation (PBE-GGA) of a relaxed structure of PaGePbO5.

Calculated values
Calculated density, g cm⁻³: 7.3
Space-group type: C2/c (15)
V, Å³ per cell: 268.8
Final energy, eV/atom: -7.545
Magnetic moment, Bohr magnetons per cell: 1.2

a b c (Å): 6.125 6.125 8.149
angles (deg): 103.80 103.80 106.49
Atoms (fractional coordinates):
Pa 0.000 0.000 0.000
Pa 0.000 0.000 0.500
Ge 0.318 0.682 0.750
Ge 0.682 0.318 0.250
Pb 0.327 0.673 0.250
Pb 0.673 0.327 0.750
O 0.077 0.923 0.250
O 0.112 0.689 0.875
O 0.248 0.386 0.602
O 0.311 0.888 0.625
O 0.386 0.248 0.102
O 0.614 0.752 0.898
O 0.689 0.112 0.375
O 0.752 0.614 0.398
O 0.888 0.311 0.125
O 0.923 0.077 0.750

***

Entry 3:
The following is a DFT calculation (PBE-GGA) of a relaxed structure of BeCu2W.

Calculated values
Calculated density, g cm⁻³: 10.4
Space-group type: Cmmm (65)
V, Å³ per cell: 51.2
Energy above the lowest structure with this stoichiometry, eV/atom: 0.3099
Formation energy from the elements, kcal/mol of atoms: 8.84
Magnetic moment, Bohr magnetons per cell: 0.0

a b c (Å): 4.730 4.730 2.522
angles (deg): 90.00 90.00 114.93
Atoms (fractional coordinates):
Be 0.000 0.000 0.000
Cu 0.000 0.500 0.500
Cu 0.500 0.000 0.500
W 0.500 0.500 0.000